(1)
DFT (PBE-GGA) results for crystalline CuC5 at its relaxed geometry.

Unit cell a=3.705 b=3.705 c=6.545 alpha=115.59 beta=115.59 gamma=38.89
Sites, in units of the cell vectors:
Cu 0.000 0.000 0.000
C 0.059 0.059 0.553
C 0.294 0.294 0.642
C 0.328 0.328 0.177
C 0.904 0.904 0.648
C 0.920 0.920 0.294

Calculated values
offset from the most stable computed form: 0.000 eV per atom
space-group type: Cm, No. 8
M_tot: 0.0 μB/cell
energy of formation: 0.78 eV/atom

(2)
DFT (PBE-GGA) results for crystalline BaU2AlS8 at its relaxed geometry.

Unit cell a=6.115 b=8.306 c=6.306 alpha=90.00 beta=96.08 gamma=90.00
Sites, in units of the cell vectors:
Ba 0.000 0.000 0.000
U 0.500 0.260 0.500
U 0.500 0.740 0.500
Al 0.000 0.500 0.000
S 0.237 0.303 0.165
S 0.237 0.697 0.165
S 0.284 0.500 0.647
S 0.293 0.000 0.622
S 0.707 0.000 0.378
S 0.716 0.500 0.353
S 0.763 0.303 0.835
S 0.763 0.697 0.835

Calculated values
space-group type: P2/m, No. 10
M_tot: 1.0 μB/cell
energy relative to the elements, uncorrected: -1.1527 eV/atom

(3)
DFT (PBE-GGA) results for crystalline LiGaMo2N at its relaxed geometry.

Unit cell a=4.092 b=4.092 c=3.919 alpha=90.00 beta=90.00 gamma=90.00
Sites, in units of the cell vectors:
Li 0.000 0.000 0.000
Ga 0.500 0.500 0.000
Mo 0.000 0.500 0.500
Mo 0.500 0.000 0.500
N 0.000 0.000 0.500

Calculated values
space-group type: P4/mmm, No. 123
M_tot: 0.0 μB/cell
energy relative to the elements, uncorrected: -0.2229 eV/atom

(4)
DFT (PBE-GGA) results for crystalline NaBSe2O8 at its relaxed geometry.

Unit cell a=5.119 b=5.119 c=6.656 alpha=90.00 beta=90.00 gamma=120.00
Sites, in units of the cell vectors:
Na 0.000 0.000 0.000
B 0.000 0.000 0.500
Se 0.333 0.667 0.270
Se 0.667 0.333 0.730
O 0.150 0.299 0.337
O 0.150 0.850 0.337
O 0.299 0.150 0.663
O 0.333 0.667 0.025
O 0.667 0.333 0.975
O 0.701 0.850 0.337
O 0.850 0.150 0.663
O 0.850 0.701 0.663

Calculated values
space-group type: P-3m1, No. 164
M_tot: 0.0 μB/cell
energy relative to the elements, uncorrected: -0.6966 eV/atom

(5)
DFT (PBE-GGA) results for crystalline NbSeN2Cl at its relaxed geometry.

Unit cell a=3.915 b=3.915 c=4.589 alpha=90.00 beta=90.00 gamma=90.00
Sites, in units of the cell vectors:
Nb 0.000 0.000 0.000
Se 0.500 0.500 0.000
N 0.000 0.500 0.500
N 0.500 0.000 0.500
Cl 0.500 0.500 0.500

Calculated values
offset from the most stable computed form: 1.518 eV per atom
space-group type: P4/mmm, No. 123
M_tot: 0.0 μB/cell
energy relative to the elements, uncorrected: 1.9606 eV/atom

(6)
DFT (PBE-GGA) results for crystalline Tl2HgIO8 at its relaxed geometry.

Unit cell a=4.987 b=5.068 c=6.911 alpha=89.51 beta=86.58 gamma=86.09
Sites, in units of the cell vectors:
Tl 0.004 0.485 0.248
Tl 0.996 0.515 0.752
Hg 0.500 0.000 0.500
I 0.500 0.000 0.000
O 0.214 0.325 0.503
O 0.251 0.316 0.995
O 0.274 0.850 0.190
O 0.321 0.850 0.787
O 0.679 0.150 0.213
O 0.726 0.150 0.810
O 0.749 0.684 0.005
O 0.786 0.675 0.497

Calculated values
space-group type: P-1, No. 2
M_tot: 0.0 μB/cell
energy relative to the elements, uncorrected: -0.3020 eV/atom

(7)
DFT (PBE-GGA) results for crystalline LaPr7Nd4 at its relaxed geometry.

Unit cell a=6.907 b=6.907 c=13.113 alpha=114.63 beta=114.63 gamma=53.33
Sites, in units of the cell vectors:
La 0.000 0.000 0.000
Pr 0.060 0.060 0.329
Pr 0.210 0.210 0.920
Pr 0.369 0.369 0.499
Pr 0.500 0.500 0.000
Pr 0.631 0.631 0.501
Pr 0.790 0.790 0.080
Pr 0.940 0.940 0.671
Nd 0.247 0.247 0.681
Nd 0.364 0.364 0.224
Nd 0.636 0.636 0.776
Nd 0.753 0.753 0.319

Calculated values
offset from the most stable computed form: 0.200 eV per atom
space-group type: C2/m, No. 12
M_tot: 0.0 μB/cell
energy of formation: 0.21 eV/atom

(8)
DFT (PBE-GGA) results for crystalline Tl2Bi3Pb2 at its relaxed geometry.

Unit cell a=4.521 b=6.697 c=8.427 alpha=103.67 beta=90.29 gamma=109.61
Sites, in units of the cell vectors:
Tl 0.133 0.259 0.427
Tl 0.867 0.741 0.573
Bi 0.000 0.000 0.000
Bi 0.302 0.611 0.846
Bi 0.698 0.389 0.154
Pb 0.406 0.806 0.243
Pb 0.594 0.194 0.757

Calculated values
offset from the most stable computed form: 0.005 eV per atom
space-group type: P-1, No. 2
M_tot: 0.0 μB/cell
energy of formation: 0.03 eV/atom

(9)
DFT (PBE-GGA) results for crystalline Cd2WBr at its relaxed geometry.

Unit cell a=7.513 b=7.513 c=4.901 alpha=108.93 beta=108.93 gamma=23.32
Sites, in units of the cell vectors:
Cd 0.000 0.000 0.000
Cd 0.140 0.140 0.639
W 0.466 0.466 0.466
Br 0.816 0.816 0.317

Calculated values
offset from the most stable computed form: 0.000 eV per atom
space-group type: Cm, No. 8
M_tot: 0.7 μB/cell
energy relative to the elements, uncorrected: 0.4574 eV/atom

(10)
DFT (PBE-GGA) results for crystalline Tb4IrRh at its relaxed geometry.

Unit cell a=8.459 b=8.288 c=6.830 alpha=67.25 beta=64.62 gamma=48.13
Sites, in units of the cell vectors:
Tb 0.023 0.477 0.752
Tb 0.248 0.752 0.477
Tb 0.248 0.752 0.977
Tb 0.477 0.023 0.248
Tb 0.523 0.977 0.752
Tb 0.752 0.248 0.023
Tb 0.752 0.248 0.523
Tb 0.977 0.523 0.248
Ir 0.125 0.125 0.125
Ir 0.875 0.875 0.875
Rh 0.375 0.375 0.375
Rh 0.625 0.625 0.625

Calculated values
offset from the most stable computed form: 0.028 eV per atom
space-group type: Fddd, No. 70
M_tot: 0.0 μB/cell
energy of formation: -0.62 eV/atom

(11)
DFT (PBE-GGA) results for crystalline LiBiN2 at its relaxed geometry.

Unit cell a=6.064 b=6.064 c=6.064 alpha=132.01 beta=132.01 gamma=70.21
Sites, in units of the cell vectors:
Li 0.000 0.000 0.000
Li 0.750 0.250 0.500
Bi 0.250 0.750 0.500
Bi 0.500 0.500 0.000
N 0.116 0.625 0.991
N 0.375 0.366 0.491
N 0.634 0.125 0.009
N 0.875 0.884 0.509

Calculated values
space-group type: I-42d, No. 122
M_tot: 0.0 μB/cell
energy relative to the elements, uncorrected: 0.4752 eV/atom

(12)
DFT (PBE-GGA) results for crystalline V6GaCo at its relaxed geometry.

Unit cell a=4.711 b=4.711 c=4.711 alpha=90.00 beta=90.00 gamma=90.00
Sites, in units of the cell vectors:
V 0.000 0.243 0.500
V 0.000 0.757 0.500
V 0.243 0.500 0.000
V 0.500 0.000 0.243
V 0.500 0.000 0.757
V 0.757 0.500 0.000
Ga 0.500 0.500 0.500
Co 0.000 0.000 0.000

Calculated values
space-group type: Pm-3, No. 200
M_tot: 0.0 μB/cell
energy of formation: -0.18 eV/atom

(13)
DFT (PBE-GGA) results for crystalline DyNiPtAu at its relaxed geometry.

Unit cell a=4.648 b=4.648 c=4.648 alpha=60.00 beta=60.00 gamma=60.00
Sites, in units of the cell vectors:
Dy 0.000 0.000 0.000
Ni 0.250 0.250 0.250
Pt 0.750 0.750 0.750
Au 0.500 0.500 0.500

Calculated values
space-group type: F-43m, No. 216
M_tot: 0.0 μB/cell
energy of formation: -0.54 eV/atom